! LaReNi3, relaxed, DFT GGA-PBEsol; values from VASP
! - magnetic moment (μB per cell) = 0.0
! - calculated volume (Å³ per cell) = 93.3
! - N(E_F) (states/eV per cell) = 4.47
! - ΔE_f (eV per atom) = 0.501
&SYSTEM
  ibrav = 0, nat = 5, ntyp = 3
/
ATOMIC_SPECIES
La 138.91 La.upf
Re 186.21 Re.upf
Ni 58.69 Ni.upf
CELL_PARAMETERS angstrom
4.536 0.000 0.000
0.000 4.536 0.000
0.000 0.000 4.536
ATOMIC_POSITIONS crystal
La 0.000 0.000 0.000
Re 0.500 0.500 0.500
Ni 0.000 0.500 0.500
Ni 0.500 0.000 0.500
Ni 0.500 0.500 0.000